# Ce7ZnI12 PBE-GGA optimized geometry
data_Ce7ZnI12
_chemical_formula_sum 'Ce21 Zn3 I36'
_cell_length_a 16.2169
_cell_length_b 16.2169
_cell_length_c 10.7937
_cell_angle_alpha 90.00
_cell_angle_beta 90.00
_cell_angle_gamma 120.00
_symmetry_space_group_name_H-M 'R -3'
_symmetry_Int_Tables_number 148
_symmetry_space_group_name_Hall '-R 3'
loop_
_atom_site_label
_atom_site_type_symbol
_atom_site_fract_x
_atom_site_fract_y
_atom_site_fract_z
Ce1 Ce 0.0000 0.0000 0.0000
Ce2 Ce 0.0467 0.1664 0.3407
Zn1 Zn 0.0000 0.0000 0.5000
I1 I 0.0225 0.5879 0.1646
I2 I 0.0523 0.1868 0.8403
# **Spin magnetization**: 9.5 μB per formula unit
# **Fermi-level density of states**: 2.80 states/eV/atom
# **ΔE_f (raw)**: -21.83 eV/f.u.
# **Crystal system**: trigonal
# **DFT total energy**: -4.16 eV/atom